1) Entry from Alexandria: Sc3Al4 after structural relaxation (PBE).

Properties
Space-group type   P-43m

Cell lengths 5.580, 5.580, 5.580 Å; angles 90.00, 90.00, 90.00 degrees
Fractional coordinates of all 7 atoms:
Sc1 0.500 0.000 0.500
Sc2 0.500 0.500 0.000
Sc3 0.000 0.500 0.500
Al1 0.164 0.836 0.164
Al2 0.836 0.164 0.164
Al3 0.836 0.836 0.836
Al4 0.164 0.164 0.836



2) Entry from Alexandria: Sc3Al4 after structural relaxation (PBE).

Properties
Space-group type   P6/mmm

Cell lengths 5.801, 5.801, 5.087 Å; angles 90.00, 90.00, 120.00 degrees
Fractional coordinates of all 7 atoms:
Sc1 0.000 0.500 0.000
Sc2 0.500 0.500 0.000
Sc3 0.500 0.000 0.000
Al1 0.000 0.000 0.244
Al2 0.000 0.000 0.756
Al3 0.667 0.333 0.500
Al4 0.333 0.667 0.500



It comes down to 2), which is 35.6 kJ/mol of atoms more stable than the next structure.



1) Entry from Alexandria: Sc3Al5 after structural relaxation (PBE).

Properties
Space-group type   P4/mmm

Cell lengths 3.154, 3.154, 15.075 Å; angles 90.00, 90.00, 90.00 degrees
Site moments in Bohr magnetons follow the coordinates.
Fractional coordinates of all 8 atoms:
Sc1 0.000 0.000 0.500  0.25
Sc2 0.500 0.500 0.131  -0.05
Sc3 0.500 0.500 0.869  -0.05
Al1 0.000 0.000 0.000  0.00
Al2 0.000 0.000 0.262  0.00
Al3 0.000 0.000 0.738  0.00
Al4 0.500 0.500 0.369  0.00
Al5 0.500 0.500 0.631  0.00



2) Entry from Alexandria: Sc3Al5 after structural relaxation (PBE).

Properties
Space-group type   Cmcm

Cell lengths 5.745, 5.745, 9.343 Å; angles 90.00, 90.00, 102.24 degrees
Fractional coordinates of all 16 atoms:
Sc1 0.206 0.794 0.000
Sc2 0.794 0.206 0.000
Sc3 0.794 0.206 0.500
Sc4 0.206 0.794 0.500
Sc5 0.614 0.614 0.750
Sc6 0.386 0.386 0.250
Al1 0.502 0.070 0.750
Al2 0.498 0.930 0.250
Al3 0.070 0.502 0.750
Al4 0.930 0.498 0.250
Al5 0.005 0.005 0.750
Al6 0.995 0.995 0.250
Al7 0.306 0.306 0.951
Al8 0.694 0.694 0.049
Al9 0.694 0.694 0.451
Al10 0.306 0.306 0.549



It comes down to 2), which is 13.1 kJ/mol of atoms more stable than the next structure.



1) Entry from Alexandria: Sc2Al2Se after structural relaxation (PBE).

Properties
Space-group type   I4/mmm

Cell lengths 4.476, 4.476, 6.771 Å; angles 70.70, 70.70, 90.00 degrees
Fractional coordinates of all 5 atoms:
Sc1 0.750 0.250 0.500
Sc2 0.250 0.750 0.500
Al1 0.399 0.399 0.202
Al2 0.601 0.601 0.798
Se1 0.000 0.000 0.000



2) Entry from Alexandria: Sc2Al2Se after structural relaxation (PBE).

Properties
Space-group type   P4/mbm

Cell lengths 6.951, 6.951, 4.423 Å; angles 90.00, 90.00, 90.00 degrees
Fractional coordinates of all 10 atoms:
Sc1 0.336 0.836 0.000
Sc2 0.836 0.664 0.000
Sc3 0.664 0.164 0.000
Sc4 0.164 0.336 0.000
Al1 0.135 0.635 0.500
Al2 0.635 0.865 0.500
Al3 0.865 0.365 0.500
Al4 0.365 0.135 0.500
Se1 0.000 0.000 0.000
Se2 0.500 0.500 0.000



3) Entry from Alexandria: Sc2Al2Se after structural relaxation (PBE).

Properties
Space-group type   P4/mbm

Cell lengths 7.124, 7.124, 4.023 Å; angles 90.00, 90.00, 90.00 degrees
Fractional coordinates of all 10 atoms:
Sc1 0.168 0.668 0.500
Sc2 0.668 0.832 0.500
Sc3 0.832 0.332 0.500
Sc4 0.332 0.168 0.500
Al1 0.372 0.872 0.000
Al2 0.872 0.628 0.000
Al3 0.628 0.128 0.000
Al4 0.128 0.372 0.000
Se1 0.000 0.000 0.000
Se2 0.500 0.500 0.000



It comes down to 2), which is 18.2 kJ/mol of atoms more stable than the next structure.



1) Entry from Alexandria: ScAl2Se4 after structural relaxation (PBE).

Properties
Space-group type   I4/m

Cell lengths 6.305, 6.305, 6.305 Å; angles 104.85, 104.85, 119.16 degrees
Site moments in Bohr magnetons follow the coordinates.
Fractional coordinates of all 7 atoms:
Sc1 0.500 0.500 0.000  0.68
Al1 0.250 0.750 0.500  0.00
Al2 0.750 0.250 0.500  0.00
Se1 0.339 0.176 0.515  0.00
Se2 0.824 0.339 0.163  0.00
Se3 0.176 0.661 0.837  0.00
Se4 0.661 0.824 0.485  0.00



2) Entry from Alexandria: ScAl2Se4 after structural relaxation (PBE).

Properties
Space-group type   I4/mmm

Cell lengths 5.339, 5.339, 7.202 Å; angles 68.24, 68.24, 90.00 degrees
Fractional coordinates of all 7 atoms:
Sc1 0.000 0.000 0.000
Al1 0.602 0.602 0.797
Al2 0.398 0.398 0.203
Se1 0.786 0.786 0.429
Se2 0.214 0.214 0.571
Se3 0.000 0.500 0.000
Se4 0.500 0.000 0.000



It comes down to 1), which is 31.5 kJ/mol of atoms more stable than the next structure.



1) Entry from Alexandria: SmScAl after structural relaxation (PBE).

Properties
Space-group type   P6_3/mmc

Cell lengths 5.104, 5.104, 6.554 Å; angles 90.00, 90.00, 119.99 degrees
Fractional coordinates of all 6 atoms:
Sm1 0.000 0.500 0.000
Sm2 0.000 0.500 0.500
Sc1 0.667 0.833 0.750
Sc2 0.333 0.167 0.250
Al1 0.333 0.167 0.750
Al2 0.667 0.833 0.250



2) Entry from Alexandria: SmScAl after structural relaxation (PBE).

Properties
Space-group type   P3m1

Cell lengths 3.083, 5.083, 5.083 Å; angles 120.00, 90.00, 90.00 degrees
Fractional coordinates of all 3 atoms:
Sc1 0.165 0.667 0.333
Al1 0.667 0.333 0.667
Sm1 0.168 0.000 0.000



It comes down to 1), which is 23.7 kJ/mol of atoms more stable than the next structure.



1) Entry from Alexandria: SmScAl after structural relaxation (PBE).

Properties
Space-group type   I4mm

Cell lengths 3.343, 3.343, 7.004 Å; angles 103.81, 103.81, 90.00 degrees
Fractional coordinates of all 3 atoms:
Sc1 0.304 0.304 0.609
Al1 0.941 0.941 0.881
Sm1 0.605 0.605 0.210



2) Entry from Alexandria: SmScAl after structural relaxation (PBE).

Properties
Space-group type   I4/mmm

Cell lengths 3.294, 3.294, 14.067 Å; angles 96.72, 96.72, 90.00 degrees
Fractional coordinates of all 6 atoms:
Sm1 0.565 0.565 0.130
Sm2 0.435 0.435 0.870
Sc1 0.293 0.293 0.585
Sc2 0.707 0.707 0.415
Al1 0.140 0.140 0.280
Al2 0.860 0.860 0.720



It comes down to 1), which is 4.3 kJ/mol of atoms more stable than the next structure.



1) Entry from Alexandria: SmSc2Al after structural relaxation (PBE).

Properties
Space-group type   Fm-3m

Cell lengths 5.125, 5.125, 5.125 Å; angles 60.00, 60.00, 60.00 degrees
Site moments in Bohr magnetons follow the coordinates.
Fractional coordinates of all 4 atoms:
Sc1 0.250 0.250 0.250  0.29
Sc2 0.750 0.750 0.750  0.29
Al1 0.500 0.500 0.500  0.00
Sm1 0.000 0.000 0.000  0.38



2) Entry from Alexandria: SmSc2Al after structural relaxation (PBE).

Properties
Space-group type   R3m

Cell lengths 3.365, 3.365, 10.332 Å; angles 80.63, 80.63, 60.00 degrees
Fractional coordinates of all 4 atoms:
Sm1 0.501 0.501 0.498
Sc1 0.072 0.072 0.784
Sc2 0.261 0.261 0.217
Al1 0.666 0.666 0.001



It comes down to 2), which is 0.9 kJ/mol of atoms more stable than the next structure.



1) Entry from Alexandria: SmSc2Al after structural relaxation (PBE).

Properties
Space-group type   Pmmn

Cell lengths 5.064, 5.987, 6.386 Å; angles 90.00, 90.00, 90.00 degrees
Fractional coordinates of all 8 atoms:
Sm1 0.000 0.382 0.500
Sm2 0.500 0.618 0.000
Sc1 0.500 0.145 0.241
Sc2 0.500 0.145 0.759
Sc3 0.000 0.855 0.741
Sc4 0.000 0.855 0.259
Al1 0.500 0.702 0.500
Al2 0.000 0.298 0.000



2) Entry from Alexandria: SmSc2Al after structural relaxation (PBE).

Properties
Space-group type   P4/mmm

Cell lengths 3.349, 3.349, 8.592 Å; angles 90.00, 90.00, 90.00 degrees
Fractional coordinates of all 4 atoms:
Sc1 0.000 0.000 0.792
Sc2 0.000 0.000 0.208
Al1 0.500 0.500 0.000
Sm1 0.500 0.500 0.500



It comes down to 2), which is 1.9 kJ/mol of atoms more stable than the next structure.



1) Entry from Alexandria: Sm3ScAl8 after structural relaxation (PBE).

Properties
Space-group type   R3m

Cell lengths 5.565, 5.565, 9.696 Å; angles 73.32, 73.32, 60.00 degrees
Fractional coordinates of all 12 atoms:
Sm1 0.375 0.375 0.875
Sm2 0.999 0.999 0.004
Sm3 0.501 0.501 0.498
Sc1 0.876 0.876 0.373
Al1 0.936 0.436 0.192
Al2 0.440 0.938 0.683
Al3 0.436 0.436 0.192
Al4 0.938 0.938 0.683
Al5 0.188 0.188 0.436
Al6 0.687 0.687 0.939
Al7 0.436 0.936 0.192
Al8 0.938 0.440 0.683



2) Entry from Alexandria: Sm3ScAl8 after structural relaxation (PBE).

Properties
Space-group type   P3m1

Cell lengths 5.565, 5.565, 9.152 Å; angles 90.00, 90.00, 120.00 degrees
Fractional coordinates of all 12 atoms:
Sm1 0.667 0.333 0.435
Sm2 0.667 0.333 0.070
Sm3 0.000 0.000 0.930
Sc1 0.000 0.000 0.569
Al1 0.333 0.667 0.501
Al2 0.333 0.667 0.997
Al3 0.504 0.008 0.745
Al4 0.504 0.496 0.745
Al5 0.992 0.496 0.745
Al6 0.162 0.324 0.254
Al7 0.162 0.838 0.254
Al8 0.676 0.838 0.254



It comes down to 1), which is 0.8 kJ/mol of atoms more stable than the next structure.



1) Entry from Alexandria: SmSc3Al8 after structural relaxation (PBE).

Properties
Space-group type   P3m1

Cell lengths 5.427, 5.427, 8.903 Å; angles 90.00, 90.00, 120.00 degrees
Fractional coordinates of all 12 atoms:
Sm1 0.000 0.000 0.567
Sc1 0.667 0.333 0.426
Sc2 0.667 0.333 0.066
Sc3 0.000 0.000 0.934
Al1 0.333 0.667 0.498
Al2 0.333 0.667 0.002
Al3 0.505 0.009 0.757
Al4 0.505 0.495 0.757
Al5 0.991 0.495 0.757
Al6 0.162 0.324 0.245
Al7 0.162 0.838 0.245
Al8 0.676 0.838 0.245



2) Entry from Alexandria: SmSc3Al8 after structural relaxation (PBE).

Properties
Space-group type   R3m

Cell lengths 5.424, 5.424, 9.456 Å; angles 73.34, 73.34, 60.00 degrees
Fractional coordinates of all 12 atoms:
Sm1 0.875 0.875 0.376
Sc1 0.376 0.376 0.873
Sc2 0.001 0.001 0.997
Sc3 0.498 0.498 0.507
Al1 0.941 0.439 0.181
Al2 0.434 0.937 0.692
Al3 0.439 0.439 0.181
Al4 0.937 0.937 0.692
Al5 0.187 0.187 0.439
Al6 0.688 0.688 0.936
Al7 0.439 0.941 0.181
Al8 0.937 0.434 0.692



It comes down to 2), which is 0.6 kJ/mol of atoms more stable than the next structure.



1) Entry from Alexandria: ScAlSn3 after structural relaxation (PBE).

Properties
Space-group type   Pm-3m

Cell lengths 5.244, 5.244, 5.244 Å; angles 90.00, 90.00, 90.00 degrees
Fractional coordinates of all 5 atoms:
Sc1 0.500 0.500 0.500
Sn1 0.000 0.500 0.000
Sn2 0.000 0.000 0.500
Sn3 0.500 0.000 0.000
Al1 0.000 0.000 0.000



2) Entry from Alexandria: ScAlSn3 after structural relaxation (PBE).

Properties
Space-group type   Pm-3m

Cell lengths 5.484, 5.484, 5.484 Å; angles 90.00, 90.00, 90.00 degrees
Fractional coordinates of all 5 atoms:
Sc1 0.000 0.000 0.000
Sn1 0.000 0.500 0.000
Sn2 0.000 0.000 0.500
Sn3 0.500 0.000 0.000
Al1 0.500 0.500 0.500



It comes down to 1), which is 5.2 kJ/mol of atoms more stable than the next structure.



1) Entry from Alexandria: Sc2Al2Sn after structural relaxation (PBE).

Properties
Space-group type   P4/mbm

Cell lengths 7.971, 7.971, 3.422 Å; angles 90.00, 90.00, 90.00 degrees
Fractional coordinates of all 10 atoms:
Sc1 0.366 0.866 0.000
Sc2 0.866 0.634 0.000
Sc3 0.634 0.134 0.000
Sc4 0.134 0.366 0.000
Sn1 0.000 0.000 0.000
Sn2 0.500 0.500 0.000
Al1 0.171 0.671 0.500
Al2 0.671 0.829 0.500
Al3 0.829 0.329 0.500
Al4 0.329 0.171 0.500



2) Entry from Alexandria: Sc2Al2Sn after structural relaxation (PBE).

Properties
Space-group type   P4/mbm

Cell lengths 7.043, 7.043, 4.192 Å; angles 90.00, 90.00, 90.00 degrees
Fractional coordinates of all 10 atoms:
Sc1 0.169 0.669 0.500
Sc2 0.669 0.831 0.500
Sc3 0.831 0.331 0.500
Sc4 0.331 0.169 0.500
Sn1 0.000 0.000 0.000
Sn2 0.500 0.500 0.000
Al1 0.374 0.874 0.000
Al2 0.874 0.626 0.000
Al3 0.626 0.126 0.000
Al4 0.126 0.374 0.000



It comes down to 2), which is 26.2 kJ/mol of atoms more stable than the next structure.